Entry 1:
K2GaCl: optimized geometry, PBE.

Computed properties:
- ΔE_f (raw): -597 meV per atom
- DOS at the Fermi energy: 1.24 states/eV/cell
- E: -18.9 eV/cell
- Relative energy among the computed polymorphs: 0 kJ/mol of formula units

a b c (Å): 7.4602 7.4602 7.4602
angles (deg): 106.82 106.82 114.92
Fractional positions:
K1 0.0736 0.6250 0.9486
K2 0.3750 0.3236 0.4486
K3 0.6764 0.1250 0.0514
K4 0.8750 0.9264 0.5514
Ga1 0.2500 0.7500 0.5000
Ga2 0.5000 0.5000 0.0000
Cl1 0.0000 0.0000 0.0000
Cl2 0.7500 0.2500 0.5000

Entry 2:
Fe2NiRu: optimized geometry, PBE.

Computed properties:
- DOS at the Fermi energy: 5.27 states/eV/cell
- E: -31.3 eV/cell

a b c (Å): 2.5430 2.5430 8.1447
angles (deg): 90.00 90.00 110.27
Fractional positions:
Fe1 0.0000 0.0000 0.0000
Fe2 0.5000 0.5000 0.2424
Ni1 0.0000 0.0000 0.4806
Ru1 0.5000 0.5000 0.7412